Computed, not measured: a relaxed HoCdPt crystal at the PBE-GGA level of DFT.

E_tot ... -13.92 eV for the cell shown
E_form ... -0.796 eV/atom
ρ ... 10.749 g/cm³

POSCAR file:
```
HoCdPt
1.0
0.6844 -3.3691 -3.1913
-2.2217 -4.1104 0.4155
-3.4303 -1.1252 -2.9951
Cd Ho Pt
1 1 1
Cartesian
-1.2419 -2.1512 -1.4427 Cd
-3.7257 -6.4535 -4.3282 Ho
0.0000 0.0000 0.0000 Pt
```